Record 1
Ba6Bi2SeN | GGA-PBE | relaxed

The structure in POSCAR format:
```
Ba6Bi2SeN
1.0
-4.949 -0.966 6.140
-3.522 -6.966 -3.935
7.867 -6.895 5.166
Ba N Se Bi
12 2 2 4
direct
0.591 0.028 0.270
0.325 0.718 0.452
0.675 0.282 0.548
0.291 0.679 0.048
0.909 0.528 0.230
0.825 0.782 0.952
0.091 0.472 0.770
0.791 0.821 0.548
0.709 0.321 0.952
0.409 0.972 0.730
0.175 0.218 0.048
0.209 0.179 0.452
0.000 0.500 0.000
0.500 0.000 0.500
0.500 0.000 0.000
0.000 0.500 0.500
0.968 0.077 0.753
0.532 0.577 0.747
0.032 0.923 0.247
0.468 0.423 0.253
```

Properties
DFT total energy	-4.0745	eV/atom
formation energy from raw total energies	-0.964	eV/atom
symmetry	P2_1/c (14)

Record 2
BaBiSe2N | GGA-PBE | relaxed

The structure in POSCAR format:
```
BaBiSe2N
1.0
6.109 0.000 0.000
0.000 6.109 0.000
0.000 0.000 5.013
Se N Ba Bi
2 1 1 1
direct
0.000 0.500 0.000
0.500 0.000 0.000
0.000 0.000 0.500
0.000 0.000 0.000
0.500 0.500 0.500
```

Properties
ΔE to the lowest computed polymorph	1.001	eV/atom
DFT total energy	-3.4014	eV/atom
formation energy from raw total energies	0.818	eV/atom
symmetry	P4/mmm (123)

Record 3
Ba3Sr3Bi2N2 | GGA-PBE | relaxed

The structure in POSCAR format:
```
Ba3Sr3Bi2N2
1.0
-0.952 2.765 -7.030
-5.250 -4.614 3.020
-6.147 10.153 4.825
Bi N Sr Ba
4 4 6 6
direct
0.333 0.667 0.750
0.000 0.000 0.000
0.667 0.333 0.250
0.000 0.000 0.500
0.667 0.333 0.613
0.667 0.333 0.887
0.333 0.667 0.113
0.333 0.667 0.387
0.500 0.500 0.500
0.500 0.000 0.500
0.500 0.500 0.000
0.000 0.500 0.000
0.500 0.000 0.000
0.000 0.500 0.500
0.651 0.826 0.250
0.174 0.826 0.250
0.349 0.174 0.750
0.826 0.174 0.750
0.826 0.651 0.750
0.174 0.349 0.250
```

Properties
DFT total energy	-4.3377	eV/atom
formation energy from raw total energies	-0.815	eV/atom
symmetry	P6_3/mmc (194)

Record 4
Ba2SrBiN | GGA-PBE | relaxed

The structure in POSCAR format:
```
Ba2SrBiN
1.0
-1.162 0.150 5.486
-5.474 -0.444 -1.147
0.381 -5.275 0.225
N Sr Ba Bi
1 1 2 1
direct
0.000 0.000 0.000
0.000 0.000 0.500
0.500 0.000 0.000
0.000 0.500 0.000
0.500 0.500 0.500
```

Properties
DFT total energy	-4.3028	eV/atom
formation energy from raw total energies	-0.756	eV/atom
symmetry	P4/mmm (123)

Record 5
BaSr2BiN | GGA-PBE | relaxed

The structure in POSCAR format:
```
BaSr2BiN
1.0
5.299 0.000 0.000
0.000 5.299 0.000
0.000 0.000 5.570
Sr N Ba Bi
2 1 1 1
direct
0.000 0.500 0.000
0.500 0.000 0.000
0.000 0.000 0.000
0.000 0.000 0.500
0.500 0.500 0.500
```

Properties
DFT total energy	-4.2999	eV/atom
formation energy from raw total energies	-0.801	eV/atom
symmetry	P4/mmm (123)

Record 6
BaTc2BiN | GGA-PBE | relaxed

The structure in POSCAR format:
```
BaTc2BiN
1.0
4.334 0.000 0.000
0.000 5.320 0.000
0.000 0.000 4.334
Bi N Tc Ba
1 1 2 1
direct
0.000 0.500 0.000
0.000 0.000 0.000
0.500 0.000 0.000
0.000 0.000 0.500
0.500 0.500 0.500
```

Properties
DFT total energy	-6.2303	eV/atom
formation energy from raw total energies	0.742	eV/atom
symmetry	P4/mmm (123)

Record 7
Ba6Bi2TeN | GGA-PBE | relaxed

The structure in POSCAR format:
```
Ba6Bi2TeN
1.0
-0.875 3.917 -6.837
2.022 -7.534 -4.574
-11.419 -2.944 -0.197
Ba Te Bi N
12 2 4 2
direct
0.706 0.334 0.944
0.206 0.166 0.444
0.294 0.666 0.056
0.794 0.834 0.556
0.388 0.962 0.723
0.888 0.538 0.223
0.343 0.718 0.442
0.657 0.282 0.558
0.157 0.218 0.058
0.112 0.462 0.777
0.843 0.782 0.942
0.612 0.038 0.277
0.500 0.000 0.000
0.000 0.500 0.500
0.541 0.592 0.746
0.459 0.408 0.254
0.041 0.908 0.246
0.959 0.092 0.754
0.000 0.500 0.000
0.500 0.000 0.500
```

Properties
DFT total energy	-3.9685	eV/atom
formation energy from raw total energies	-0.892	eV/atom
symmetry	P2_1/c (14)

Record 8
BaBiTe2N | GGA-PBE | relaxed

The structure in POSCAR format:
```
BaBiTe2N
1.0
6.079 0.000 0.000
0.000 6.079 0.000
0.000 0.000 4.665
Bi Te N Ba
1 2 1 1
direct
0.000 0.000 0.000
0.500 0.000 0.000
0.000 0.500 0.000
0.000 0.000 0.500
0.500 0.500 0.500
```

Properties
ΔE to the lowest computed polymorph	0.000	eV/atom
DFT total energy	-4.0733	eV/atom
formation energy from raw total energies	0.009	eV/atom
symmetry	P4/mmm (123)

Record 9
BaBiTe2N | GGA-PBE | relaxed

The structure in POSCAR format:
```
BaBiTe2N
1.0
-3.762 3.080 4.295
-4.876 -4.057 -1.362
1.371 -2.701 3.138
Te N Bi Ba
2 1 1 1
direct
0.000 0.500 0.000
0.500 0.000 0.000
0.000 0.000 0.500
0.500 0.500 0.500
0.000 0.000 0.000
```

Properties
ΔE to the lowest computed polymorph	0.870	eV/atom
DFT total energy	-3.2029	eV/atom
formation energy from raw total energies	0.880	eV/atom
symmetry	P4/mmm (123)

Record 10
Ba2TlBiN | GGA-PBE | relaxed

The structure in POSCAR format:
```
Ba2TlBiN
1.0
-3.120 -4.168 2.370
0.034 -2.847 -4.962
4.089 -2.295 1.346
Tl Ba N Bi
1 2 1 1
direct
0.000 0.000 0.500
0.000 0.500 0.000
0.500 0.000 0.000
0.000 0.000 0.000
0.500 0.500 0.500
```

Properties
DFT total energy	-4.0983	eV/atom
formation energy from raw total energies	-0.415	eV/atom
symmetry	P4/mmm (123)

Record 11
Ba2NaBi2 | GGA-PBE | relaxed

The structure in POSCAR format:
```
Ba2NaBi2
1.0
6.958 0.000 0.000
0.000 6.958 0.000
3.479 3.479 4.950
Ba Bi Na
2 2 1
direct
0.750 0.250 0.500
0.250 0.750 0.500
0.334 0.334 0.332
0.666 0.666 0.668
0.000 0.000 0.000
```

Properties
ΔE to the lowest computed polymorph	0.290	eV/atom
DFT total energy	-3.0488	eV/atom
symmetry	I4/mmm (139)

Record 12
Ba2Na2Bi | GGA-PBE | relaxed

The structure in POSCAR format:
```
Ba2Na2Bi
1.0
-3.877 -5.792 -4.944
7.111 -0.768 -4.676
1.774 -4.058 3.364
Na Bi Ba
4 2 4
direct
0.372 0.872 0.000
0.128 0.372 0.000
0.872 0.628 0.000
0.628 0.128 0.000
0.000 0.000 0.000
0.500 0.500 0.000
0.191 0.691 0.500
0.691 0.809 0.500
0.809 0.309 0.500
0.309 0.191 0.500
```

Properties
ΔE to the lowest computed polymorph	0.072	eV/atom
DFT total energy	-2.3384	eV/atom
symmetry	P4/mbm (127)